1.
Here is an optimized crystal structure of PrDy2Ho6 from Alexandria via LeMat-Bulk. Energies are from PBE-GGA.

Results
DFT formation energy = 344 meV/atom

abc: 7.632 7.632 7.632
angles: 57.43 57.43 57.43
Atoms (fractional coordinates):
Pr 0.000 0.000 0.000
Dy 0.263 0.263 0.263
Dy 0.439 0.439 0.439
Ho 0.297 0.731 0.731
Ho 0.466 0.944 0.944
Ho 0.731 0.297 0.731
Ho 0.731 0.731 0.297
Ho 0.944 0.466 0.944
Ho 0.944 0.944 0.466

2.
Here is an optimized crystal structure of TiAlTcPd from Alexandria via LeMat-Bulk. Energies are from PBE-GGA.

Results
DFT formation energy = -654 meV/atom

abc: 4.362 4.362 4.362
angles: 60.00 60.00 60.00
Atoms (fractional coordinates):
Ti 0.000 0.000 0.000
Al 0.500 0.500 0.500
Tc 0.250 0.250 0.250
Pd 0.750 0.750 0.750

3.
Here is an optimized crystal structure of Cd2AgOs from Alexandria via LeMat-Bulk. Energies are from PBE-GGA.

Results
DFT formation energy = 475 meV/atom

abc: 5.158 2.819 5.378
angles: 90.00 113.84 90.00
Atoms (fractional coordinates):
Cd 0.000 0.000 0.000
Cd 0.000 0.500 0.500
Ag 0.500 0.000 0.500
Os 0.500 0.500 0.000

no.,relative energy among the computed polymorphs (meV/atom),final energy (eV per atom),spin magnetization (μB per cell)
1,272,-4.26,0.00
2,24,-7.45,0.00
3,130,-3.50,0.08